Computed, not measured: a geometry-optimized ScCdMo structure at the GGA-PBEsol level of DFT.

The structure in POSCAR format:
```
ScCdMo
1.0
0.000 2.189 6.889
1.820 0.000 6.889
1.820 2.189 0.000
Sc Cd Mo
1 1 1
Direct
0.000 0.000 0.000 Sc
0.320 0.320 0.680 Cd
0.656 0.656 0.344 Mo
```

Values from the calculation:
ΔE to the lowest computed polymorph in meV/atom: 0


Computed, not measured: a geometry-optimized SrNbNO2 structure at the GGA-PBEsol level of DFT.

The structure in POSCAR format:
```
SrNbNO2
1.0
4.042 0.000 0.000
0.000 4.042 0.000
0.000 0.000 4.080
Sr Nb N O
1 1 1 2
Direct
0.000 0.000 0.000 Sr
0.500 0.500 0.500 Nb
0.500 0.500 0.000 N
0.000 0.500 0.500 O
0.500 0.000 0.500 O
```

Values from the calculation:
Energy relative to the elements, uncorrected in meV/atom: -2203


Computed, not measured: a geometry-optimized Li2Mg structure at the GGA-PBEsol level of DFT.

The structure in POSCAR format:
```
Li2Mg
1.0
4.796 0.000 0.000
-2.398 4.153 0.000
0.000 0.000 2.991
Li Mg
2 1
Direct
0.333 0.667 0.000 Li
0.667 0.333 0.000 Li
0.000 0.000 0.500 Mg
```

Values from the calculation:
Electronic total energy in eV per atom: -1.92


Computed, not measured: a geometry-optimized ZnTc structure at the GGA-PBEsol level of DFT.

The structure in POSCAR format:
```
ZnTc
1.0
2.732 0.000 0.000
-1.366 2.366 0.000
0.000 0.000 8.620
Zn Tc
2 2
Direct
0.333 0.667 0.374 Zn
0.667 0.333 0.626 Zn
0.333 0.667 0.883 Tc
0.667 0.333 0.117 Tc
```

Values from the calculation:
ΔE to the lowest computed polymorph in meV/atom: 0


Computed, not measured: a geometry-optimized K2PW structure at the GGA-PBEsol level of DFT.

The structure in POSCAR format:
```
K2PW
1.0
0.000 3.787 3.787
3.787 0.000 3.787
3.787 3.787 0.000
K P W
2 1 1
Direct
0.250 0.250 0.250 K
0.750 0.750 0.750 K
0.000 0.000 0.000 P
0.500 0.500 0.500 W
```

Values from the calculation:
ΔE to the lowest computed polymorph in meV/atom: 761


Computed, not measured: a geometry-optimized ReHg2TeO structure at the GGA-PBEsol level of DFT.

The structure in POSCAR format:
```
ReHg2TeO
1.0
5.470 0.000 0.000
0.000 5.470 0.000
0.000 0.000 3.681
Re Hg Te O
1 2 1 1
Direct
0.000 0.000 0.000 Re
0.000 0.500 0.000 Hg
0.500 0.000 0.000 Hg
0.500 0.500 0.500 Te
0.000 0.000 0.500 O
```

Values from the calculation:
Energy relative to the elements, uncorrected in meV/atom: 102


Computed, not measured: a geometry-optimized AlAsOs structure at the GGA-PBEsol level of DFT.

The structure in POSCAR format:
```
AlAsOs
1.0
0.000 2.936 2.936
2.936 0.000 2.936
2.936 2.936 0.000
Al As Os
1 1 1
Direct
0.000 0.000 0.000 Al
0.500 0.500 0.500 As
0.250 0.250 0.250 Os
```

Values from the calculation:
ΔE to the lowest computed polymorph in meV/atom: 0


Computed, not measured: a geometry-optimized PN3Cl structure at the GGA-PBEsol level of DFT.

The structure in POSCAR format:
```
PN3Cl
1.0
3.675 0.000 0.000
0.000 3.675 0.000
0.000 0.000 3.675
P N Cl
1 3 1
Direct
0.000 0.000 0.000 P
0.000 0.500 0.500 N
0.500 0.000 0.500 N
0.500 0.500 0.000 N
0.500 0.500 0.500 Cl
```

Values from the calculation:
Energy relative to the elements, uncorrected in meV/atom: 2665


Computed, not measured: a geometry-optimized MnNiO3 structure at the GGA-PBEsol level of DFT.

The structure in POSCAR format:
```
MnNiO3
1.0
2.417 1.395 4.441
-2.417 1.395 4.441
0.000 -2.791 4.441
Mn Ni O
2 2 6
Direct
0.153 0.153 0.153 Mn
0.847 0.847 0.847 Mn
0.354 0.354 0.354 Ni
0.646 0.646 0.646 Ni
0.054 0.766 0.441 O
0.234 0.559 0.946 O
0.441 0.054 0.766 O
0.559 0.946 0.234 O
0.766 0.441 0.054 O
0.946 0.234 0.559 O
```

Values from the calculation:
Energy relative to the elements, uncorrected in meV/atom: -1338


Computed, not measured: a geometry-optimized CdNiBr structure at the GGA-PBEsol level of DFT.

The structure in POSCAR format:
```
CdNiBr
1.0
0.000 3.087 3.087
3.087 0.000 3.087
3.087 3.087 0.000
Cd Ni Br
1 1 1
Direct
0.000 0.000 0.000 Cd
0.750 0.750 0.750 Ni
0.500 0.500 0.500 Br
```

Values from the calculation:
Energy relative to the elements, uncorrected in meV/atom: 261


Computed, not measured: a geometry-optimized KTaIn2 structure at the GGA-PBEsol level of DFT.

The structure in POSCAR format:
```
KTaIn2
1.0
-1.462 3.161 5.806
1.462 -3.161 5.806
1.462 3.161 -5.806
K Ta In
1 1 2
Direct
0.000 0.000 0.000 K
0.500 0.500 0.000 Ta
0.283 0.783 0.500 In
0.717 0.217 0.500 In
```

Values from the calculation:
ΔE to the lowest computed polymorph in meV/atom: 569


Computed, not measured: a geometry-optimized K2CuAgIr structure at the GGA-PBEsol level of DFT.

The structure in POSCAR format:
```
K2CuAgIr
1.0
5.983 0.000 0.000
0.000 5.983 0.000
0.000 0.000 4.760
K Cu Ag Ir
2 1 1 1
Direct
0.000 0.500 0.000 K
0.500 0.000 0.000 K
0.000 0.000 0.500 Cu
0.000 0.000 0.000 Ag
0.500 0.500 0.500 Ir
```

Values from the calculation:
Electronic total energy in eV per atom: -2.55


no.,total magnetization (μB/atom)
1,0.0001
2,0.0000
3,0.0001
4,0.0000
5,1.1399
6,0.1776
7,0.0000
8,0.0001
9,0.1981
10,0.0001
11,0.3035
12,0.3540